No. 1
! PBE PuTh2Be, relaxed; values from VASP
&SYSTEM
  ibrav = 0, nat = 4, ntyp = 3
/
ATOMIC_SPECIES
Pu 244.00 Pu.upf
Th 232.04 Th.upf
Be 9.01 Be.upf
ATOMIC_POSITIONS angstrom
Pu 0.0000 0.0000 0.0000
Th 1.7607 1.7607 2.3961
Th 1.7607 1.7607 5.8203
Be 0.0000 0.0000 4.1082
CELL_PARAMETERS angstrom
3.5214 0.0000 0.0000
0.0000 3.5214 0.0000
0.0000 0.0000 8.2164
! space group	P4/mmm, No. 123
! spin magnetization	5.8	μB per formula unit
! calculated total energy	-8.03	eV per atom
! energy above the most stable polymorph in this dataset	0	kJ/mol of formula units
! ΔH_f (0 K)	0.1944	eV/atom



No. 2
! PBE CrReTc2, relaxed; values from VASP
&SYSTEM
  ibrav = 0, nat = 4, ntyp = 3
/
ATOMIC_SPECIES
Cr 52.00 Cr.upf
Re 186.21 Re.upf
Tc 98.00 Tc.upf
ATOMIC_POSITIONS angstrom
Cr 0.0000 0.0000 0.0000
Re 0.0000 0.0000 13.1795
Tc 0.0000 0.0000 6.6791
Tc 0.0000 0.0000 19.6798
CELL_PARAMETERS angstrom
1.3630 0.7869 8.7863
-1.3630 0.7869 8.7863
0.0000 -1.5739 8.7863
! space group	R-3m, No. 166
! spin magnetization	0.0	μB per formula unit
! calculated total energy	-10.54	eV per atom
! ΔH_f (0 K)	0.1583	eV/atom



No. 3
! PBE TlCu2Pt, relaxed; values from VASP
&SYSTEM
  ibrav = 0, nat = 4, ntyp = 3
/
ATOMIC_SPECIES
Tl 204.38 Tl.upf
Cu 63.55 Cu.upf
Pt 195.08 Pt.upf
ATOMIC_POSITIONS angstrom
Tl 0.0000 0.0000 0.0000
Cu 1.5756 1.5756 1.5756
Cu 4.7268 4.7268 4.7268
Pt 3.1512 3.1512 3.1512
CELL_PARAMETERS angstrom
0.0000 3.1512 3.1512
3.1512 0.0000 3.1512
3.1512 3.1512 0.0000
! space group	Fm-3m, No. 225
! spin magnetization	0.0	μB per formula unit
! calculated total energy	-4.06	eV per atom
! energy above the most stable polymorph in this dataset	11	kJ/mol of formula units
! ΔH_f (0 K)	0.0865	eV/atom



No. 4
! PBE LiGa6Cu12, relaxed; values from VASP
&SYSTEM
  ibrav = 0, nat = 19, ntyp = 3
/
ATOMIC_SPECIES
Li 6.94 Li.upf
Ga 69.72 Ga.upf
Cu 63.55 Cu.upf
ATOMIC_POSITIONS angstrom
Li 0.0000 0.0000 0.0000
Ga 0.0000 -2.5418 3.5315
Ga -2.2013 1.2709 3.5315
Ga -2.2013 -1.2709 4.7632
Ga 2.2013 1.2709 3.5315
Ga 2.2013 -1.2709 4.7632
Ga 0.0000 2.5418 4.7632
Cu -2.1035 -3.6434 4.1473
Cu -4.2071 0.0000 4.1473
Cu -1.3176 -0.7607 2.2860
Cu 1.3176 -0.7607 2.2860
Cu 0.0000 1.5214 2.2860
Cu 2.1035 -3.6434 4.1473
Cu -2.1035 3.6434 4.1473
Cu 0.0000 -1.5214 6.0087
Cu -1.3176 0.7607 6.0087
Cu 1.3176 0.7607 6.0087
Cu 4.2071 0.0000 4.1473
Cu 2.1035 3.6434 4.1473
CELL_PARAMETERS angstrom
5.4207 3.1296 2.7649
-5.4207 3.1296 2.7649
0.0000 -6.2592 2.7649
! space group	R-3m, No. 166
! spin magnetization	0.0	μB per formula unit
! calculated total energy	-3.60	eV per atom
! ΔH_f (0 K)	0.0481	eV/atom